1.
! NiAu2Br, optimized geometry, DFT GGA-PBE; values from VASP
! - final energy (eV per cell) = -11.92
! - volume (Å³ per atom) = 18.23
! - density of states at the Fermi level (states/eV per cell) = 5.6
! - formation energy without anion corrections (eV per atom) = 0.523
! - space group = No. 216
! - excess energy over the best structure of this formula in the dataset (meV per atom) = 371.7
&SYSTEM
  ibrav = 0, nat = 4, ntyp = 3
/
ATOMIC_SPECIES
Br 79.90 Br.upf
Ni 58.69 Ni.upf
Au 196.97 Au.upf
CELL_PARAMETERS angstrom
-0.888 4.416 -1.307
-4.382 1.297 -1.054
-2.351 2.867 2.871
ATOMIC_POSITIONS crystal
Br 0.500 0.500 0.500
Ni 0.750 0.750 0.750
Au 0.250 0.250 0.250
Au 0.000 0.000 0.000

2.
! NiAu2Br, optimized geometry, DFT GGA-PBE; values from VASP
! - final energy (eV per cell) = -12.61
! - volume (Å³ per atom) = 19.44
! - density of states at the Fermi level (states/eV per cell) = 4.7
! - formation energy without anion corrections (eV per atom) = 0.350
! - space group = No. 166
! - excess energy over the best structure of this formula in the dataset (meV per atom) = 199.3
&SYSTEM
  ibrav = 0, nat = 4, ntyp = 3
/
ATOMIC_SPECIES
Au 196.97 Au.upf
Br 79.90 Br.upf
Ni 58.69 Ni.upf
CELL_PARAMETERS angstrom
-6.598 -4.378 -7.417
-5.324 -6.825 -6.542
-7.618 -5.794 -5.109
ATOMIC_POSITIONS crystal
Au 0.482 0.482 0.482
Br 0.250 0.250 0.250
Au 0.018 0.018 0.018
Ni 0.750 0.750 0.750

3.
! Ni2AuBr, optimized geometry, DFT GGA-PBE; values from VASP
! - final energy (eV per cell) = -14.60
! - volume (Å³ per atom) = 15.40
! - density of states at the Fermi level (states/eV per cell) = 3.5
! - formation energy without anion corrections (eV per atom) = 0.477
! - space group = No. 123
! - excess energy over the best structure of this formula in the dataset (meV per atom) = 134.1
&SYSTEM
  ibrav = 0, nat = 4, ntyp = 3
/
ATOMIC_SPECIES
Ni 58.69 Ni.upf
Br 79.90 Br.upf
Au 196.97 Au.upf
CELL_PARAMETERS angstrom
4.540 0.023 -0.010
-0.018 4.540 -0.010
0.005 0.005 2.989
ATOMIC_POSITIONS crystal
Ni 0.500 0.500 0.000
Br 0.000 0.500 0.500
Ni 0.000 0.000 0.000
Au 0.500 0.000 0.500

What did the second record say?
! NiAu2Br, optimized geometry, DFT GGA-PBE; values from VASP
! - final energy (eV per cell) = -12.61
! - volume (Å³ per atom) = 19.44
! - density of states at the Fermi level (states/eV per cell) = 4.7
! - formation energy without anion corrections (eV per atom) = 0.350
! - space group = No. 166
! - excess energy over the best structure of this formula in the dataset (meV per atom) = 199.3
&SYSTEM
  ibrav = 0, nat = 4, ntyp = 3
/
ATOMIC_SPECIES
Au 196.97 Au.upf
Br 79.90 Br.upf
Ni 58.69 Ni.upf
CELL_PARAMETERS angstrom
-6.598 -4.378 -7.417
-5.324 -6.825 -6.542
-7.618 -5.794 -5.109
ATOMIC_POSITIONS crystal
Au 0.482 0.482 0.482
Br 0.250 0.250 0.250
Au 0.018 0.018 0.018
Ni 0.750 0.750 0.750